PmScSnRh: optimized geometry, PBE-GGA.

Results
DOS at the Fermi energy (states/eV/f.u.): 2.45
Energy of formation from the pure elements (meV/atom): -591
SG: F-43m
Total magnetization (μB per cell): 0.0

Cell: 5.0369 5.0369 5.0369 Å, 60.00 60.00 60.00°
Closest atoms and distances in Å follow each position.
Atoms (fractional coordinates):
Sc 0.0000 0.0000 0.0000  4 Rh 3.08, 4 Sn 3.08
Rh 0.7500 0.7500 0.7500  4 Pm 3.08, 4 Sc 3.08
Sn 0.2500 0.2500 0.2500  4 Sc 3.08, 4 Pm 3.08
Pm 0.5000 0.5000 0.5000  4 Sn 3.08, 4 Rh 3.08


RbNb2AgI: optimized geometry, PBE-GGA.

Results
DOS at the Fermi energy (states/eV/f.u.): 4.15
SG: P4/mmm
Raw total energy (eV/atom): -3.5956
Total magnetization (μB per cell): 2.2

Cell: 5.1655 6.4103 5.1655 Å, 90.00 90.00 90.00°
Closest atoms and distances in Å follow each position.
Atoms (fractional coordinates):
I 0.0000 0.0000 0.0000  4 Nb 2.58
Nb 0.0000 0.0000 0.5000  2 I 2.58
Nb 0.5000 0.0000 0.0000  2 I 2.58
Rb 0.0000 0.5000 0.0000  2 I 3.21
Ag 0.5000 0.5000 0.5000  4 Rb 3.65


TlTcMo2: optimized geometry, PBE-GGA.

Results
DOS at the Fermi energy (states/eV/f.u.): 3.68
Energy of formation from the pure elements (meV/atom): 549
SG: R3m
Energy above the most stable polymorph in this dataset (eV/f.u.): 0.54
Total magnetization (μB per cell): 0.0

Cell: 9.4966 9.4966 9.4966 Å, 17.72 17.72 17.72°
Closest atoms and distances in Å follow each position.
Atoms (fractional coordinates):
Mo 0.0048 0.0048 0.0048  9 Mo 2.86-2.93, 3 Tl 3.04
Mo 0.7536 0.7536 0.7536  3 Tc 2.66, 9 Mo 2.86-2.93
Tc 0.4935 0.4935 0.4935  3 Mo 2.66, 6 Tc 2.93
Tl 0.2481 0.2481 0.2481  6 Tl 2.93, 3 Tc 2.99, 3 Mo 3.04


HOsPt3: optimized geometry, PBE-GGA.

Results
DOS at the Fermi energy (states/eV/f.u.): 4.98
SG: Pm-3m
Energy above the most stable polymorph in this dataset (eV/f.u.): 7.17
Total magnetization (μB per cell): 0.9

Cell: 4.8422 4.8422 4.8422 Å, 90.00 90.00 90.00°
Closest atoms and distances in Å follow each position.
Atoms (fractional coordinates):
H 0.5000 0.5000 0.5000  12 Pt 3.42
Os 0.0000 0.0000 0.0000  6 Pt 2.42
Pt 0.0000 0.5000 0.0000  2 Os 2.42
Pt 0.0000 0.0000 0.5000  2 Os 2.42
Pt 0.5000 0.0000 0.0000  2 Os 2.42


Rb2CdGaAs: optimized geometry, PBE-GGA.

Results
DOS at the Fermi energy (states/eV/f.u.): 3.66
Energy of formation from the pure elements (meV/atom): -50
SG: P4/mmm
Total magnetization (μB per cell): 0.1

Cell: 6.8238 4.9311 6.8238 Å, 90.00 90.00 90.00°
Closest atoms and distances in Å follow each position.
Atoms (fractional coordinates):
As 0.0000 0.0000 0.0000  2 Ga 2.47
Ga 0.0000 0.5000 0.0000  2 As 2.47
Rb 0.0000 0.0000 0.5000  2 As 3.41
Rb 0.5000 0.0000 0.0000  2 As 3.41
Cd 0.5000 0.5000 0.5000  8 Rb 4.21


PmVH2: optimized geometry, PBE-GGA.

Results
DOS at the Fermi energy (states/eV/f.u.): 2.78
SG: R-3m
Raw total energy (eV/atom): -5.1245
Total magnetization (μB per cell): 0.0

Cell: 3.0428 3.0428 5.9831 Å, 75.27 75.27 60.00°
Closest atoms and distances in Å follow each position.
Atoms (fractional coordinates):
H 0.7152 0.7152 0.8543  3 V 1.94
H 0.2848 0.2848 0.1457  3 V 1.94
V 0.0000 0.0000 0.0000  6 H 1.94
Pm 0.5000 0.5000 0.5000  6 H 2.68


TbPmMnIn: optimized geometry, PBE-GGA.

Results
DOS at the Fermi energy (states/eV/f.u.): 4.76
Energy of formation from the pure elements (meV/atom): -81
SG: F-43m
Total magnetization (μB per cell): 3.4

Cell: 5.2781 5.2781 5.2781 Å, 60.00 60.00 60.00°
Closest atoms and distances in Å follow each position.
Atoms (fractional coordinates):
In 0.5000 0.5000 0.5000  4 Tb 3.23, 4 Pm 3.23
Tb 0.2500 0.2500 0.2500  4 Mn 3.23, 4 In 3.23
Mn 0.0000 0.0000 0.0000  4 Tb 3.23, 4 Pm 3.23
Pm 0.7500 0.7500 0.7500  4 In 3.23, 4 Mn 3.23


ZrScCu: optimized geometry, PBE-GGA.

Results
DOS at the Fermi energy (states/eV/f.u.): 3.94
Energy of formation from the pure elements (meV/atom): -96
SG: C2/m
Energy above the most stable polymorph in this dataset (eV/f.u.): 0.17
Total magnetization (μB per cell): 0.0

Cell: 5.6573 5.8722 5.6576 Å, 60.43 132.44 100.39°
Closest atoms and distances in Å follow each position.
Atoms (fractional coordinates):
Sc 0.9144 0.8091 0.5288  3 Cu 2.71-2.89
Sc 0.2694 0.6141 0.3689  3 Cu 2.71-2.89
Zr 0.5401 0.0115 0.7008  3 Cu 2.73-2.91, 1 Zr 3.02
Zr 0.6436 0.4118 0.1968  3 Cu 2.73-2.91, 1 Zr 3.02
Cu 0.9499 0.3126 0.9898  1 Cu 2.54, 1 Sc 2.71, 2 Zr 2.73
Cu 0.2336 0.1102 0.9079  1 Cu 2.54, 1 Sc 2.71, 2 Zr 2.73


SrY5: optimized geometry, PBE-GGA.

Results
DOS at the Fermi energy (states/eV/f.u.): 11.94
Energy of formation from the pure elements (meV/atom): 177
SG: Cmmm
Energy above the most stable polymorph in this dataset (eV/f.u.): 0.49
Total magnetization (μB per cell): 0.0

Cell: 3.8246 5.9736 9.6862 Å, 107.96 90.00 90.00°
Closest atoms and distances in Å follow each position.
Atoms (fractional coordinates):
Y 0.0000 0.6538 0.3075  10 Y 3.42-3.82
Y 0.0000 0.3462 0.6925  10 Y 3.42-3.82
Y 0.5000 0.5000 0.0000  6 Y 3.42-3.82, 4 Sr 3.55
Y 0.5000 0.1867 0.3734  10 Y 3.51-3.82
Y 0.5000 0.8133 0.6266  10 Y 3.51-3.82
Sr 0.0000 0.0000 0.0000  8 Y 3.55-3.94, 2 Sr 3.82


RbGaC: optimized geometry, PBE-GGA.

Results
DOS at the Fermi energy (states/eV/f.u.): 0.00
Energy of formation from the pure elements (meV/atom): 726
SG: P4_122
Total magnetization (μB per cell): 0.0

Cell: 4.9277 4.9277 13.4511 Å, 90.00 90.00 90.00°
Closest atoms and distances in Å follow each position.
Atoms (fractional coordinates):
C 0.5000 0.2984 0.0000  2 Ga 1.84
C 0.5000 0.7016 0.5000  2 Ga 1.84
C 0.7016 0.5000 0.2500  2 Ga 1.84
C 0.2984 0.5000 0.7500  2 Ga 1.84
Ga 0.5612 0.5612 0.3750  2 C 1.84
Ga 0.4388 0.4388 0.8750  2 C 1.84
Ga 0.4388 0.5612 0.6250  2 C 1.84
Ga 0.5612 0.4388 0.1250  2 C 1.84
Rb 0.0000 0.8858 0.0000  2 C 3.19, 2 Rb 3.46, 2 Ga 3.51
Rb 0.0000 0.1142 0.5000  2 C 3.19, 2 Rb 3.46, 2 Ga 3.51
Rb 0.1142 0.0000 0.2500  2 C 3.19, 2 Rb 3.46, 2 Ga 3.51
Rb 0.8858 0.0000 0.7500  2 C 3.19, 2 Rb 3.46, 2 Ga 3.51


BaSbPt2: optimized geometry, PBE-GGA.

Results
DOS at the Fermi energy (states/eV/f.u.): 1.29
SG: P4/mmm
Raw total energy (eV/atom): -4.8954
Total magnetization (μB per cell): 0.0

Cell: 3.5951 3.5951 7.4125 Å, 90.00 90.00 89.98°
Closest atoms and distances in Å follow each position.
Atoms (fractional coordinates):
Ba 0.5000 0.5000 0.7500  8 Pt 3.41-3.42, 4 Ba 3.60, 2 Sb 3.71
Pt 0.0000 0.0000 0.0576  1 Pt 2.85, 4 Sb 2.91-2.92
Pt 0.0000 0.0000 0.4424  1 Pt 2.85, 4 Sb 2.91-2.92
Sb 0.5000 0.5000 0.2500  8 Pt 2.91-2.92


RbScGa3: optimized geometry, PBE-GGA.

Results
DOS at the Fermi energy (states/eV/f.u.): 5.79
Energy of formation from the pure elements (meV/atom): 220
SG: Pm-3m
Energy above the most stable polymorph in this dataset (eV/f.u.): 0.00
Total magnetization (μB per cell): 0.0

Cell: 5.4408 5.4408 5.4408 Å, 90.00 90.00 90.00°
Closest atoms and distances in Å follow each position.
Atoms (fractional coordinates):
Sc 0.0000 0.0000 0.0000  6 Ga 2.72
Ga 0.0000 0.5000 0.0000  2 Sc 2.72
Ga 0.0000 0.0000 0.5000  2 Sc 2.72
Ga 0.5000 0.0000 0.0000  2 Sc 2.72
Rb 0.5000 0.5000 0.5000  12 Ga 3.85


Tl2InAg2: optimized geometry, PBE-GGA.

Results
DOS at the Fermi energy (states/eV/f.u.): 1.91
Energy of formation from the pure elements (meV/atom): 219
SG: I4/mmm
Energy above the most stable polymorph in this dataset (eV/f.u.): 0.64
Total magnetization (μB per cell): 0.0

Cell: 4.3742 4.3742 7.6036 Å, 73.28 73.28 90.00°
Closest atoms and distances in Å follow each position.
Atoms (fractional coordinates):
Tl 0.7500 0.2500 0.5000  4 Ag 3.05, 4 Tl 3.09
Tl 0.2500 0.7500 0.5000  4 Ag 3.05, 4 Tl 3.09
Ag 0.4029 0.4029 0.1942  1 Ag 2.70
Ag 0.5971 0.5971 0.8058  1 Ag 2.70
In 0.0000 0.0000 0.0000  8 Ag 3.37


Tb6BiIr: optimized geometry, PBE-GGA.

Results
DOS at the Fermi energy (states/eV/f.u.): 10.79
Energy of formation from the pure elements (meV/atom): -263
SG: R-3
Total magnetization (μB per cell): 0.0

Cell: 6.8821 6.8839 7.7848 Å, 63.77 63.77 60.00°
Closest atoms and distances in Å follow each position.
Atoms (fractional coordinates):
Tb 0.0410 0.4178 0.7711  1 Ir 2.71
Tb 0.7700 0.0410 0.7711  1 Ir 2.71
Tb 0.5822 0.2299 0.2290  1 Ir 2.71
Tb 0.2300 0.9590 0.2289  1 Ir 2.71
Tb 0.9590 0.5822 0.2289  1 Ir 2.71
Tb 0.4178 0.7701 0.7710  1 Ir 2.71
Bi 0.5000 0.5000 0.5000  6 Tb 3.10
Ir 0.0000 0.0000 0.0000  6 Tb 2.71